RbInCoO3: optimized geometry, GGA+U.

final energy = -0.19250 hartree per atom

```
RbInCoO3
1.0
6.8932 0.0000 0.0000
0.0000 3.3981 0.0000
-3.1210 0.0000 8.8999
Rb In Co O
2 2 2 6
direct
0.1594 0.2500 0.1975
0.8406 0.7500 0.8025
0.3752 0.2500 0.8514
0.6248 0.7500 0.1486
0.1503 0.7500 0.5736
0.8497 0.2500 0.4264
0.0426 0.2500 0.6412
0.3047 0.7500 0.9827
0.4214 0.7500 0.7167
0.5786 0.2500 0.2833
0.6953 0.2500 0.0173
0.9574 0.7500 0.3588
```